1.
Computed, not measured: a geometry-optimized Ac2GaGe2Au4 structure at the GGA-PBE level of DFT.

The structure belongs to space group I4/mmm (No. 139); the cell edges are 6.620, 6.620 and 9.822 Å and the angles 90.00°, 90.00° and 90.00°. Symmetry generates all atoms from Ac at (0.000, 0.500, 0.250), Ga at (0.000, 0.000, 0.000), Ge at (0.000, 0.000, 0.320) and Au at (0.227, 0.227, 0.500).

The formation enthalpy at 0 K comes out at -0.59 eV per atom. As for the total moment: 0.00 μB/cell.

2.
Computed, not measured: a geometry-optimized In3Ru5 structure at the GGA-PBE level of DFT.

The structure belongs to space group Cmmm (No. 65); the cell edges are 6.401, 9.034 and 4.500 Å and the angles 90.00°, 90.00° and 90.00°. Symmetry generates all atoms from In at (0.000, 0.000, 0.000), In at (0.000, 0.251, 0.500), Ru at (0.000, 0.500, 0.000), Ru at (0.241, 0.500, 0.500) and Ru at (0.250, 0.250, 0.000).

The formation enthalpy at 0 K comes out at 0.22 eV per atom. As for the total moment: 4.63 μB/cell.

Q: Which formula does entry 2 have?
A: In3Ru5

Q: total moment of number 2 (In3Ru5)?
A: 4.63 μB/cell